# AcLa2Pr2Dy2 GGA-PBE relaxed
# ρ = 7.3 Mg/m³
# ΔE_f = 34 meV/atom
# magnetization = 0.00 Bohr magnetons per cell
# total DFT energy (no corrections) = -65.0 eV per cell
# D(E_F) = 25.20 states/eV/cell
data_AcLa2Pr2Dy2
_cell_length_a 11.758
_cell_length_b 5.209
_cell_length_c 8.373
_cell_angle_alpha 90.00
_cell_angle_beta 97.99
_cell_angle_gamma 90.00
_symmetry_space_group_name_H-M 'C 1 2/m 1'
_symmetry_Int_Tables_number 12
loop_
_symmetry_equiv_pos_as_xyz
'x,y,z'
'-x,-y,-z'
'-x,y,-z'
'x,-y,z'
'x+1/2,y+1/2,z'
'-x+1/2,-y+1/2,-z'
'-x+1/2,y+1/2,-z'
'x+1/2,-y+1/2,z'
loop_
_atom_site_label
_atom_site_type_symbol
_atom_site_fract_x
_atom_site_fract_y
_atom_site_fract_z
_atom_site_occupancy
Ac1 Ac 0.000 0.000 0.000 1
La1 La 0.141 0.000 0.431 1
Pr1 Pr 0.216 0.500 0.147 1
Dy1 Dy 0.073 0.500 0.709 1